Here is a geometry-optimized Rb2CrBiO4 structure from the Alexandria database. Energies are from PBE with a Hubbard U.

Computed properties:
**Magnetization**: 3.0 μB/cell
**Raw total energy**: -44.2 eV for the cell shown

POSCAR file:
```
Rb2CrBiO4
1.0
5.967 0.000 0.000
0.000 3.409 0.000
-1.975 0.000 6.448
Rb Cr Bi O
2 1 1 4
Cartesian
0.000 0.000 0.000 Rb
2.983 1.705 0.000 Rb
-0.987 1.705 3.224 Cr
1.996 0.000 3.224 Bi
-0.160 0.000 4.310 O
0.772 1.705 2.066 O
3.220 1.705 4.381 O
4.152 0.000 2.138 O
```